! La2YTe | Alexandria via LeMat-Bulk | PBE | optimized geometry; values from VASP
&SYSTEM
  ibrav = 0, nat = 8, ntyp = 3
/
ATOMIC_SPECIES
La 138.91 La.upf
Y 88.91 Y.upf
Te 127.60 Te.upf
ATOMIC_POSITIONS crystal
La 0.085 0.625 0.960
La 0.375 0.335 0.460
La 0.665 0.125 0.040
La 0.875 0.915 0.540
Y 0.250 0.750 0.500
Y 0.500 0.500 0.000
Te 0.000 0.000 0.000
Te 0.750 0.250 0.500
CELL_PARAMETERS angstrom
-4.679 4.679 3.181
4.679 -4.679 3.181
4.679 4.679 -3.181
! ΔE_f (raw)	-40	kJ per mole of atoms
! ρ	5894	kg/m3
! spin magnetization	0.000	μB/f.u.
! SG	I-42d, No. 122